# PBE+U HoHfMoO6, optimized geometry
# - energy (eV/atom) = -8.4003
# - magnetic moment (μB per cell) = 2.0
data_HoHfMoO6
_chemical_formula_sum 'Ho2 Hf2 Mo2 O12'
_cell_length_a 5.3880
_cell_length_b 5.3880
_cell_length_c 9.1231
_cell_angle_alpha 90.00
_cell_angle_beta 90.00
_cell_angle_gamma 120.00
_space_group_name_H-M_alt 'P -3 1 c'
_space_group_IT_number 163
_space_group_name_Hall '-P 3 2c'
loop_
_atom_site_label
_atom_site_fract_x
_atom_site_fract_y
_atom_site_fract_z
_atom_site_occupancy
Ho1 0.3333 0.6667 0.2500 1
Hf1 0.0000 0.0000 0.0000 1
Mo1 0.3333 0.6667 0.7500 1
O1 0.0368 0.3455 0.6272 1